This record from the Alexandria database describes a relaxed SrTe2Pd2 crystal. The functional is PBE-GGA.

Calculated values
Formation energy without anion corrections in eV per atom: -0.7083
Energy relative to the lowest polymorph listed for this composition in eV per atom: 0.086
Magnetization in μB/f.u.: 0.0

Cell: 5.276 5.276 9.320 Å, 90.00 90.00 90.00°
Space group I4/mmm (No. 139)
One atom of each set of equivalent atoms:
Sr: 0.000 0.000 0.000 x2
Te: 0.000 0.500 0.250 x4
Pd: 0.000 0.000 0.340 x4